First-principles (PBE) data for a relaxed HoTiHg6 crystal, as listed in Alexandria.

Unit cell a=5.9923 b=5.9923 c=8.5635 alpha=69.52 beta=69.52 gamma=60.00
Last column: nearest neighbours and their distance in Å.
Sites, in units of the cell vectors:
Hg (0.5561, 0.0660, 0.3119)  5 Hg 2.94-3.06, 1 Ho 3.01
Hg (0.9340, 0.4439, 0.6881)  5 Hg 2.94-3.06, 1 Ho 3.01
Hg (0.9340, 0.9340, 0.6881)  5 Hg 2.94-3.06, 1 Ho 3.01
Hg (0.0660, 0.5561, 0.3119)  5 Hg 2.94-3.06, 1 Ho 3.01
Hg (0.4439, 0.9340, 0.6881)  5 Hg 2.94-3.06, 1 Ho 3.01
Hg (0.0660, 0.0660, 0.3119)  5 Hg 2.94-3.06, 1 Ho 3.01
Ho (0.0000, 0.0000, 0.0000)  6 Hg 3.01
Ti (0.5000, 0.5000, 0.5000)  12 Hg 3.34

Results
- Electronic total energy: -1.49 eV per atom
- N(E_F): 8.0 states/eV/f.u.



First-principles (PBE) data for a relaxed HoTiHg crystal, as listed in Alexandria.

Unit cell a=4.3416 b=4.3416 c=7.4524 alpha=90.00 beta=90.00 gamma=90.00
Last column: nearest neighbours and their distance in Å.
Sites, in units of the cell vectors:
Ti (0.5000, 0.5000, 0.5000)  4 Hg 2.87, 4 Ti 3.07
Ti (0.0000, 0.0000, 0.5000)  4 Hg 2.87, 4 Ti 3.07
Ho (0.5000, 0.0000, 0.1593)  5 Hg 3.04-3.14, 4 Ti 3.34
Ho (0.0000, 0.5000, 0.8407)  5 Hg 3.04-3.14, 4 Ti 3.34
Hg (0.5000, 0.0000, 0.7511)  4 Ti 2.87, 5 Ho 3.04-3.14
Hg (0.0000, 0.5000, 0.2489)  4 Ti 2.87, 5 Ho 3.04-3.14

Results
- Electronic total energy: -4.39 eV per atom
- N(E_F): 3.9 states/eV/f.u.



First-principles (PBE) data for a relaxed HoTiTlHg crystal, as listed in Alexandria.

Unit cell a=5.0798 b=5.0798 c=5.0798 alpha=60.00 beta=60.00 gamma=60.00
Last column: nearest neighbours and their distance in Å.
Sites, in units of the cell vectors:
Hg (0.7500, 0.7500, 0.7500)  4 Ti 3.11, 4 Ho 3.11
Ho (0.0000, 0.0000, 0.0000)  4 Hg 3.11, 4 Tl 3.11
Ti (0.5000, 0.5000, 0.5000)  4 Tl 3.11, 4 Hg 3.11
Tl (0.2500, 0.2500, 0.2500)  4 Ho 3.11, 4 Ti 3.11

Results
- Electronic total energy: -3.89 eV per atom
- N(E_F): 4.1 states/eV/f.u.